Computed, not measured: a geometry-optimized ErBO3 structure at the GGA-PBEsol level of DFT.

Results
calculated density: 7.14 g/cm3
formation energy from raw total energies: -3.218 eV per atom
total DFT energy (no corrections): -0.322 Ha/atom
symmetry: C2/c

Cell lengths 6.450, 6.450, 9.481 Å; angles 109.53, 109.53, 60.06 degrees
Positions (direct):
Er (0.000, 0.500, 0.000)
Er (0.159, 0.670, 0.501)
Er (0.330, 0.841, 0.999)
Er (0.500, 0.000, 0.500)
Er (0.670, 0.159, 0.001)
Er (0.841, 0.330, 0.499)
B (0.174, 0.826, 0.250)
B (0.341, 0.418, 0.753)
B (0.418, 0.341, 0.253)
B (0.582, 0.659, 0.747)
B (0.659, 0.582, 0.247)
B (0.826, 0.174, 0.750)
O (0.016, 0.886, 0.106)
O (0.114, 0.984, 0.394)
O (0.182, 0.370, 0.610)
O (0.197, 0.583, 0.252)
O (0.282, 0.467, 0.899)
O (0.362, 0.638, 0.750)
O (0.370, 0.182, 0.110)
O (0.417, 0.803, 0.248)
O (0.467, 0.282, 0.399)
O (0.533, 0.718, 0.601)
O (0.583, 0.197, 0.752)
O (0.630, 0.818, 0.890)
O (0.638, 0.362, 0.250)
O (0.718, 0.533, 0.101)
O (0.803, 0.417, 0.748)
O (0.818, 0.630, 0.390)
O (0.886, 0.016, 0.606)
O (0.984, 0.114, 0.894)